Entry 1:
{"formula": "Rb2PaCoS5", "functional": "PBE", "state": "optimized geometry", "lattice": [[-3.7420, -1.3238, 0.7530], [0.3248, -0.4378, -9.9937], [4.7723, -13.0757, 0.7280]], "species": ["Rb", "Rb", "Rb", "Rb", "Pa", "Pa", "Co", "Co", "S", "S", "S", "S", "S", "S", "S", "S", "S", "S"], "fractional_positions": [[0.8786, 0.7572, 0.8447], [0.1305, 0.2611, 0.6947], [0.1214, 0.2428, 0.3447], [0.8695, 0.7389, 0.1947], [0.8039, 0.6079, 0.5262], [0.1961, 0.3921, 0.0262], [0.5789, 0.1578, 0.9157], [0.4211, 0.8422, 0.4157], [0.3228, 0.6457, 0.0188], [0.6918, 0.3836, 0.8971], [0.5126, 0.0251, 0.7998], [0.3164, 0.6328, 0.6501], [0.9399, 0.8799, 0.4768], [0.6772, 0.3543, 0.5188], [0.3082, 0.6164, 0.3971], [0.4874, 0.9749, 0.2998], [0.6836, 0.3672, 0.1501], [0.0601, 0.1201, 0.9768]], "m_tot_mub_per_fu": 1.250, "dft_energy_ev_per_cell": -97.93, "e_form_raw_ev_per_atom": -1.09, "n_ef_per_ev_cell": 8.3}



Entry 2:
{"formula": "MgNp2Al6", "functional": "PBE", "state": "optimized geometry", "lattice": [[5.5506, 0.0686, -0.4346], [-0.5018, 5.5163, -0.5646], [0.0441, 0.1809, 5.5647]], "species": ["Mg", "Np", "Np", "Al", "Al", "Al", "Al", "Al", "Al"], "fractional_positions": [[0.0000, 0.0000, 0.0000], [0.6409, 0.6410, 0.6410], [0.3591, 0.3590, 0.3590], [0.1585, 0.5000, 0.8412], [0.8415, 0.1588, 0.5000], [0.8415, 0.5000, 0.1588], [0.5000, 0.1587, 0.8413], [0.1585, 0.8412, 0.5000], [0.5000, 0.8413, 0.1587]], "ef_ev_per_atom": -0.09, "m_tot_mub_per_fu": 7.652, "dft_energy_ev_per_cell": -50.74, "n_ef_per_ev_cell": 14.0}